Compound: CrFeI2Cl
Source: the Alexandria database
Functional: GGA-PBEsol
Structure: relaxed

Results
Calculated total energy = -4.329 eV/atom
Crystal system = tetragonal

Cell and atoms, written as CIF:
```
data_CrFeI2Cl
_symmetry_space_group_name_H-M 'P 1'
_symmetry_Int_Tables_number 1
_symmetry_space_group_name_Hall 'P 1'
_cell_length_a 4.9464
_cell_length_b 4.9464
_cell_length_c 5.2589
_cell_angle_alpha 90.00
_cell_angle_beta 90.00
_cell_angle_gamma 90.00
loop_
_atom_site_label
_atom_site_type_symbol
_atom_site_fract_x
_atom_site_fract_y
_atom_site_fract_z
I1 I 0.0000 0.5000 0.0000
I2 I 0.5000 0.0000 0.0000
Cr1 Cr 0.0000 0.0000 0.5000
Fe1 Fe 0.0000 0.0000 0.0000
Cl1 Cl 0.5000 0.5000 0.5000
```

***

Compound: CrFe2OsCl
Source: the Alexandria database
Functional: GGA-PBEsol
Structure: relaxed

Results
Calculated total energy = -6.745 eV/atom
Crystal system = tetragonal

Cell and atoms, written as CIF:
```
data_CrFe2OsCl
_symmetry_space_group_name_H-M 'P 1'
_symmetry_Int_Tables_number 1
_symmetry_space_group_name_Hall 'P 1'
_cell_length_a 4.6748
_cell_length_b 4.4569
_cell_length_c 4.4569
_cell_angle_alpha 90.00
_cell_angle_beta 90.00
_cell_angle_gamma 90.00
loop_
_atom_site_label
_atom_site_type_symbol
_atom_site_fract_x
_atom_site_fract_y
_atom_site_fract_z
Cr1 Cr 0.5000 0.5000 0.5000
Os1 Os 0.0000 0.0000 0.0000
Fe1 Fe 0.0000 0.0000 0.5000
Fe2 Fe 0.0000 0.5000 0.0000
Cl1 Cl 0.5000 0.0000 0.0000
```

***

Compound: CrFePCl2
Source: the Alexandria database
Functional: GGA-PBEsol
Structure: relaxed

Results
Calculated total energy = -5.412 eV/atom
Crystal system = tetragonal

Cell and atoms, written as CIF:
```
data_CrFePCl2
_symmetry_space_group_name_H-M 'P 1'
_symmetry_Int_Tables_number 1
_symmetry_space_group_name_Hall 'P 1'
_cell_length_a 4.2928
_cell_length_b 4.6272
_cell_length_c 4.6272
_cell_angle_alpha 90.00
_cell_angle_beta 90.00
_cell_angle_gamma 90.00
loop_
_atom_site_label
_atom_site_type_symbol
_atom_site_fract_x
_atom_site_fract_y
_atom_site_fract_z
Cr1 Cr 0.5000 0.5000 0.5000
Fe1 Fe 0.0000 0.0000 0.0000
P1 P 0.5000 0.0000 0.0000
Cl1 Cl 0.0000 0.0000 0.5000
Cl2 Cl 0.0000 0.5000 0.0000
```

***

Compound: CrFeS2Cl
Source: the Alexandria database
Functional: GGA-PBEsol
Structure: relaxed

Results
Calculated total energy = -5.644 eV/atom
Crystal system = tetragonal

Cell and atoms, written as CIF:
```
data_CrFeS2Cl
_symmetry_space_group_name_H-M 'P 1'
_symmetry_Int_Tables_number 1
_symmetry_space_group_name_Hall 'P 1'
_cell_length_a 4.5251
_cell_length_b 4.5381
_cell_length_c 4.5381
_cell_angle_alpha 90.00
_cell_angle_beta 90.00
_cell_angle_gamma 90.00
loop_
_atom_site_label
_atom_site_type_symbol
_atom_site_fract_x
_atom_site_fract_y
_atom_site_fract_z
Cr1 Cr 0.0000 0.0000 0.0000
S1 S 0.0000 0.0000 0.5000
S2 S 0.0000 0.5000 0.0000
Fe1 Fe 0.5000 0.5000 0.5000
Cl1 Cl 0.5000 0.0000 0.0000
```

***

Compound: Y2CrFeCl
Source: the Alexandria database
Functional: GGA-PBEsol
Structure: relaxed

Results
Calculated total energy = -6.302 eV/atom
Crystal system = tetragonal

Cell and atoms, written as CIF:
```
data_Y2CrFeCl
_symmetry_space_group_name_H-M 'P 1'
_symmetry_Int_Tables_number 1
_symmetry_space_group_name_Hall 'P 1'
_cell_length_a 4.1370
_cell_length_b 5.2182
_cell_length_c 5.2182
_cell_angle_alpha 90.00
_cell_angle_beta 90.00
_cell_angle_gamma 90.00
loop_
_atom_site_label
_atom_site_type_symbol
_atom_site_fract_x
_atom_site_fract_y
_atom_site_fract_z
Y1 Y 0.0000 0.0000 0.5000
Y2 Y 0.0000 0.5000 0.0000
Cr1 Cr 0.0000 0.0000 0.0000
Fe1 Fe 0.5000 0.5000 0.5000
Cl1 Cl 0.5000 0.0000 0.0000
```

***

Compound: CrGaCl2
Source: the Alexandria database
Functional: GGA-PBEsol
Structure: relaxed

Results
Calculated total energy = -4.526 eV/atom
Crystal system = cubic

Cell and atoms, written as CIF:
```
data_CrGaCl2
_symmetry_space_group_name_H-M 'P 1'
_symmetry_Int_Tables_number 1
_symmetry_space_group_name_Hall 'P 1'
_cell_length_a 4.7960
_cell_length_b 4.7960
_cell_length_c 4.7960
_cell_angle_alpha 60.00
_cell_angle_beta 60.00
_cell_angle_gamma 60.00
loop_
_atom_site_label
_atom_site_type_symbol
_atom_site_fract_x
_atom_site_fract_y
_atom_site_fract_z
Cr1 Cr 0.0000 0.0000 0.0000
Ga1 Ga 0.5000 0.5000 0.5000
Cl1 Cl 0.2500 0.2500 0.2500
Cl2 Cl 0.7500 0.7500 0.7500
```

***

Magnetic moment list, top to bottom, in μB per formula unit: 6.957; 7.907; 5.798; 6.618; 2.701; 5.001